Record 1
The following is a DFT calculation (meta-GGA SCAN) of Y2WCl at its PBEsol-relaxed geometry.

Lattice parameters (Å, degrees): 3.9581 3.9581 11.1097 90.00 90.00 90.00
Space group I-4m2 (No. 119)
Asymmetric unit:
Y: 0.0000 0.0000 0.0000 (multiplicity 2)
Y: 0.0000 0.5000 0.2500 (multiplicity 2)
W: 0.0000 0.5000 0.7500 (multiplicity 2)
Cl: 0.0000 0.0000 0.5000 (multiplicity 2)

Summary:
ΔE to the lowest computed polymorph   0.716 eV/atom
DOS(E_F)   1.108 states/eV/atom
Energy   -32.942 eV per atom
Calculated density   7.6 Mg/m³

Record 2
The following is a DFT calculation (meta-GGA SCAN) of Ta2MnFeN at its PBEsol-relaxed geometry.

Lattice parameters (Å, degrees): 4.7019 4.7019 3.3251 90.00 90.00 90.00
Space group P4/mmm (No. 123)
Asymmetric unit:
Ta: 0.0000 0.5000 0.0000 (multiplicity 2)
Mn: 0.0000 0.0000 0.5000 (multiplicity 1)
Fe: 0.5000 0.5000 0.0000 (multiplicity 1)
N: 0.5000 0.5000 0.5000 (multiplicity 1)

Summary:
DOS(E_F)   0.818 states/eV/atom
Energy   -34.957 eV per atom
Calculated density   11.0 Mg/m³